Record 1
Material: PrPa2
Method: DFT, GGA-PBE
State: relaxed

Lattice parameters (Å, degrees): 6.205 6.205 6.205 60.00 60.00 60.00
Positions (direct):
1 Pr 0.125 0.125 0.125
2 Pr 0.875 0.875 0.875
3 Pa 0.000 0.500 0.500
4 Pa 0.500 0.000 0.500
5 Pa 0.500 0.500 0.000
6 Pa 0.500 0.500 0.500

Summary:
Crystal system: cubic
M_tot, μB/f.u.: 0.0
VASP energy, eV per atom: -7.67
SG: Fd-3m, No. 227
Density of states at the Fermi level, states/eV/f.u.: 7.5
E_form, eV/atom: 0.254


Record 2
Material: Sb2As
Method: DFT, GGA-PBE
State: relaxed

Lattice parameters (Å, degrees): 5.271 5.271 6.148 90.00 90.00 120.00
Positions (direct):
1 Sb 0.000 0.000 0.000
2 Sb 0.000 0.000 0.500
3 Sb 0.333 0.667 0.250
4 Sb 0.667 0.333 0.750
5 As 0.333 0.667 0.750
6 As 0.667 0.333 0.250

Summary:
Crystal system: hexagonal
Formation energy without anion corrections, eV/atom: 0.301
M_tot, μB/f.u.: 0.0
VASP energy, eV per atom: -4.00
SG: P6_3/mmc, No. 194
Density of states at the Fermi level, states/eV/f.u.: 1.7
Polymorph energy (0 for the lowest one), eV/f.u.: 0.70


Record 3
Material: TmSn2
Method: DFT, GGA-PBE
State: relaxed

Lattice parameters (Å, degrees): 5.570 5.194 6.067 90.00 117.07 90.00
Positions (direct):
1 Tm 0.000 0.000 0.000
2 Tm 0.500 0.500 0.000
3 Sn 0.173 0.500 0.343
4 Sn 0.327 0.000 0.657
5 Sn 0.673 0.000 0.343
6 Sn 0.827 0.500 0.657

Summary:
Crystal system: monoclinic
M_tot, μB/f.u.: 0.0
VASP energy, eV per atom: -4.50
SG: C2/m, No. 12
Density of states at the Fermi level, states/eV/f.u.: 2.4
E_form, eV/atom: -0.343


Q: Look up the VASP energy of the first one.
A: -7.67 eV per atom